A plane-wave DFT calculation with GGA-PBE was carried out for a relaxed structure of Ac3MgTl4.

Properties
**E**: -25.640 eV/cell
**Magnetization**: 0.00 Bohr magnetons per cell
**Formation energy from the elements**: -218 kJ/mol of formula units

Structure (CIF):
```
data_Ac3MgTl4
_cell_length_a 3.8712
_cell_length_b 3.8712
_cell_length_c 17.1672
_cell_angle_alpha 90.00
_cell_angle_beta 90.00
_cell_angle_gamma 90.00
_space_group_name_H-M_alt 'P 4/m m m'
_space_group_IT_number 123
_space_group_name_Hall '-P 4 2'
loop_
_atom_site_label
_atom_site_type_symbol
_atom_site_fract_x
_atom_site_fract_y
_atom_site_fract_z
_atom_site_occupancy
Ac1 Ac 0.0000 0.0000 0.0000 1
Ac2 Ac 0.0000 0.0000 0.2689 1
Mg1 Mg 0.0000 0.0000 0.5000 1
Tl1 Tl 0.5000 0.5000 0.1362 1
Tl2 Tl 0.5000 0.5000 0.4034 1
```

***

A plane-wave DFT calculation with GGA-PBE was carried out for a relaxed structure of AcMg2Tl.

Properties
**E**: -9.957 eV/cell
**Magnetization**: 0.00 Bohr magnetons per cell
**Formation energy from the elements**: -28 kJ/mol of formula units

Structure (CIF):
```
data_AcMg2Tl
_cell_length_a 3.8574
_cell_length_b 3.8574
_cell_length_c 7.9718
_cell_angle_alpha 90.00
_cell_angle_beta 90.00
_cell_angle_gamma 90.00
_space_group_name_H-M_alt 'P 4/m m m'
_space_group_IT_number 123
_space_group_name_Hall '-P 4 2'
loop_
_atom_site_label
_atom_site_type_symbol
_atom_site_fract_x
_atom_site_fract_y
_atom_site_fract_z
_atom_site_occupancy
Ac1 Ac 0.0000 0.0000 0.0000 1
Mg1 Mg 0.5000 0.5000 0.2952 1
Tl1 Tl 0.0000 0.0000 0.5000 1
```

***

A plane-wave DFT calculation with GGA-PBE was carried out for a relaxed structure of Ac2Mg5Tl5.

Properties
**E**: -29.705 eV/cell
**Magnetization**: 0.00 Bohr magnetons per cell
**Formation energy from the elements**: -162 kJ/mol of formula units

Structure (CIF):
```
data_Ac2Mg5Tl5
_cell_length_a 4.8862
_cell_length_b 6.2038
_cell_length_c 11.2310
_cell_angle_alpha 90.00
_cell_angle_beta 90.00
_cell_angle_gamma 90.00
_space_group_name_H-M_alt 'P m m m'
_space_group_IT_number 47
_space_group_name_Hall '-P 2 2'
loop_
_atom_site_label
_atom_site_type_symbol
_atom_site_fract_x
_atom_site_fract_y
_atom_site_fract_z
_atom_site_occupancy
Ac1 Ac 0.0000 0.0000 0.0000 1
Ac2 Ac 0.0000 0.5000 0.5000 1
Mg1 Mg 0.5000 0.0000 0.5000 1
Mg2 Mg 0.5000 0.2474 0.2508 1
Tl1 Tl 0.0000 0.0000 0.3317 1
Tl2 Tl 0.0000 0.5000 0.1853 1
Tl3 Tl 0.5000 0.5000 0.0000 1
```

***

A plane-wave DFT calculation with GGA-PBE was carried out for a relaxed structure of Ac4Mg4Tl7.

Properties
**E**: -173.689 eV/cell
**Magnetization**: 0.00 Bohr magnetons per cell
**Formation energy from the elements**: -390 kJ/mol of formula units

Structure (CIF):
```
data_Ac4Mg4Tl7
_cell_length_a 16.6529
_cell_length_b 16.6529
_cell_length_c 6.5087
_cell_angle_alpha 90.00
_cell_angle_beta 90.00
_cell_angle_gamma 90.00
_space_group_name_H-M_alt 'I 4/m m m'
_space_group_IT_number 139
_space_group_name_Hall '-I 4 2'
loop_
_atom_site_label
_atom_site_type_symbol
_atom_site_fract_x
_atom_site_fract_y
_atom_site_fract_z
_atom_site_occupancy
Ac1 Ac 0.0000 0.2004 0.0000 1
Ac2 Ac 0.1405 0.1405 0.5000 1
Mg1 Mg 0.1531 0.3469 0.2500 1
Tl1 Tl 0.0000 0.0000 0.2504 1
Tl2 Tl 0.0000 0.2988 0.5000 1
Tl3 Tl 0.0000 0.4102 0.0000 1
Tl4 Tl 0.2019 0.2019 0.0000 1
```

***

A plane-wave DFT calculation with GGA-PBE was carried out for a relaxed structure of AcMg2Tl.

Properties
**E**: -10.192 eV/cell
**Magnetization**: 0.00 Bohr magnetons per cell
**Formation energy from the elements**: -51 kJ/mol of formula units

Structure (CIF):
```
data_AcMg2Tl
_cell_length_a 4.8426
_cell_length_b 4.8426
_cell_length_c 5.1801
_cell_angle_alpha 90.00
_cell_angle_beta 90.00
_cell_angle_gamma 90.00
_space_group_name_H-M_alt 'P 4/m m m'
_space_group_IT_number 123
_space_group_name_Hall '-P 4 2'
loop_
_atom_site_label
_atom_site_type_symbol
_atom_site_fract_x
_atom_site_fract_y
_atom_site_fract_z
_atom_site_occupancy
Ac1 Ac 0.0000 0.0000 0.0000 1
Mg1 Mg 0.0000 0.5000 0.5000 1
Tl1 Tl 0.5000 0.5000 0.0000 1
```

***

A plane-wave DFT calculation with GGA-PBE was carried out for a relaxed structure of Ac3Mg7Tl2.

Properties
**E**: -90.345 eV/cell
**Magnetization**: 0.00 Bohr magnetons per cell
**Formation energy from the elements**: -183 kJ/mol of formula units

Structure (CIF):
```
data_Ac3Mg7Tl2
_cell_length_a 6.3514
_cell_length_b 6.3514
_cell_length_c 29.9843
_cell_angle_alpha 90.00
_cell_angle_beta 90.00
_cell_angle_gamma 120.00
_space_group_name_H-M_alt 'R -3 m'
_space_group_IT_number 166
_space_group_name_Hall '-R 3 2"'
loop_
_atom_site_label
_atom_site_type_symbol
_atom_site_fract_x
_atom_site_fract_y
_atom_site_fract_z
_atom_site_occupancy
Ac1 Ac 0.0000 0.0000 0.0000 1
Ac2 Ac 0.0000 0.0000 0.1437 1
Mg1 Mg 0.0000 0.0000 0.5000 1
Mg2 Mg 0.0031 0.5015 0.9181 1
Tl1 Tl 0.0000 0.0000 0.3342 1
```

***

A plane-wave DFT calculation with GGA-PBE was carried out for a relaxed structure of Ac4Mg5Tl6.

Properties
**E**: -168.434 eV/cell
**Magnetization**: 0.00 Bohr magnetons per cell
**Formation energy from the elements**: -338 kJ/mol of formula units

Structure (CIF):
```
data_Ac4Mg5Tl6
_cell_length_a 4.9945
_cell_length_b 22.9618
_cell_length_c 16.2776
_cell_angle_alpha 90.00
_cell_angle_beta 90.00
_cell_angle_gamma 90.00
_space_group_name_H-M_alt 'C m c 21'
_space_group_IT_number 36
_space_group_name_Hall 'C 2c -2'
loop_
_atom_site_label
_atom_site_type_symbol
_atom_site_fract_x
_atom_site_fract_y
_atom_site_fract_z
_atom_site_occupancy
Ac1 Ac 0.0000 0.0374 0.0000 1
Ac2 Ac 0.0000 0.0428 0.2721 1
Ac3 Ac 0.0000 0.1523 0.7875 1
Ac4 Ac 0.0000 0.1838 0.4379 1
Mg1 Mg 0.0000 0.1617 0.1297 1
Mg2 Mg 0.0000 0.3189 0.1057 1
Mg3 Mg 0.0000 0.3263 0.7709 1
Mg4 Mg 0.0000 0.3454 0.4723 1
Mg5 Mg 0.0000 0.4566 0.1608 1
Tl1 Tl 0.0000 0.0943 0.5979 1
Tl2 Tl 0.0000 0.2232 0.9725 1
Tl3 Tl 0.0000 0.2494 0.2589 1
Tl4 Tl 0.0000 0.4153 0.6324 1
Tl5 Tl 0.0000 0.4242 0.9348 1
Tl6 Tl 0.0000 0.4457 0.3490 1
```

***

A plane-wave DFT calculation with GGA-PBE was carried out for a relaxed structure of Ac3Mg2Tl6.

Properties
**E**: -64.443 eV/cell
**Magnetization**: 0.00 Bohr magnetons per cell
**Formation energy from the elements**: -242 kJ/mol of formula units

Structure (CIF):
```
data_Ac3Mg2Tl6
_cell_length_a 4.9380
_cell_length_b 4.9380
_cell_length_c 28.4444
_cell_angle_alpha 90.00
_cell_angle_beta 90.00
_cell_angle_gamma 90.00
_space_group_name_H-M_alt 'I 4/m m m'
_space_group_IT_number 139
_space_group_name_Hall '-I 4 2'
loop_
_atom_site_label
_atom_site_type_symbol
_atom_site_fract_x
_atom_site_fract_y
_atom_site_fract_z
_atom_site_occupancy
Ac1 Ac 0.0000 0.0000 0.0000 1
Ac2 Ac 0.0000 0.0000 0.1953 1
Mg1 Mg 0.0000 0.0000 0.4514 1
Tl1 Tl 0.0000 0.0000 0.3148 1
Tl2 Tl 0.0000 0.5000 0.1042 1
```

***

A plane-wave DFT calculation with GGA-PBE was carried out for a relaxed structure of Ac3MgTl5.

Properties
**E**: -56.793 eV/cell
**Magnetization**: 0.00 Bohr magnetons per cell
**Formation energy from the elements**: -255 kJ/mol of formula units

Structure (CIF):
```
data_Ac3MgTl5
_cell_length_a 9.8708
_cell_length_b 9.8708
_cell_length_c 6.9282
_cell_angle_alpha 90.00
_cell_angle_beta 90.00
_cell_angle_gamma 120.00
_space_group_name_H-M_alt 'P 63/m c m'
_space_group_IT_number 193
_space_group_name_Hall '-P 6c 2'
loop_
_atom_site_label
_atom_site_type_symbol
_atom_site_fract_x
_atom_site_fract_y
_atom_site_fract_z
_atom_site_occupancy
Ac1 Ac 0.0000 0.3560 0.2500 1
Mg1 Mg 0.0000 0.0000 0.0000 1
Tl1 Tl 0.0000 0.3050 0.7500 1
Tl2 Tl 0.3333 0.6667 0.0000 1
```

***

A plane-wave DFT calculation with GGA-PBE was carried out for a relaxed structure of AcMg6Tl4.

Properties
**E**: -46.326 eV/cell
**Magnetization**: 0.00 Bohr magnetons per cell
**Formation energy from the elements**: -2 kJ/mol of formula units

Structure (CIF):
```
data_AcMg6Tl4
_cell_length_a 8.0030
_cell_length_b 8.0030
_cell_length_c 9.9171
_cell_angle_alpha 90.00
_cell_angle_beta 90.00
_cell_angle_gamma 90.00
_space_group_name_H-M_alt 'I -4 2 m'
_space_group_IT_number 121
_space_group_name_Hall 'I -4 2'
loop_
_atom_site_label
_atom_site_type_symbol
_atom_site_fract_x
_atom_site_fract_y
_atom_site_fract_z
_atom_site_occupancy
Ac1 Ac 0.0000 0.0000 0.0000 1
Mg1 Mg 0.0000 0.5000 0.0000 1
Mg2 Mg 0.1355 0.1355 0.6197 1
Tl1 Tl 0.2237 0.2237 0.3461 1
```

***

A plane-wave DFT calculation with GGA-PBE was carried out for a relaxed structure of AcMg4Tl.

Properties
**E**: -52.392 eV/cell
**Magnetization**: 0.00 Bohr magnetons per cell
**Formation energy from the elements**: -24 kJ/mol of formula units

Structure (CIF):
```
data_AcMg4Tl
_cell_length_a 8.7836
_cell_length_b 8.7836
_cell_length_c 8.7836
_cell_angle_alpha 90.00
_cell_angle_beta 90.00
_cell_angle_gamma 90.00
_space_group_name_H-M_alt 'F -4 3 m'
_space_group_IT_number 216
_space_group_name_Hall 'F -4 2 3'
loop_
_atom_site_label
_atom_site_type_symbol
_atom_site_fract_x
_atom_site_fract_y
_atom_site_fract_z
_atom_site_occupancy
Ac1 Ac 0.0000 0.0000 0.0000 1
Mg1 Mg 0.1249 0.1249 0.6249 1
Tl1 Tl 0.2500 0.2500 0.2500 1
```

***

A plane-wave DFT calculation with GGA-PBE was carried out for a relaxed structure of Ac3MgTl2.

Properties
**E**: -20.203 eV/cell
**Magnetization**: 0.00 Bohr magnetons per cell
**Formation energy from the elements**: -150 kJ/mol of formula units

Structure (CIF):
```
data_Ac3MgTl2
_cell_length_a 4.0893
_cell_length_b 4.0893
_cell_length_c 12.6025
_cell_angle_alpha 90.00
_cell_angle_beta 90.00
_cell_angle_gamma 90.00
_space_group_name_H-M_alt 'P 4/m m m'
_space_group_IT_number 123
_space_group_name_Hall '-P 4 2'
loop_
_atom_site_label
_atom_site_type_symbol
_atom_site_fract_x
_atom_site_fract_y
_atom_site_fract_z
_atom_site_occupancy
Ac1 Ac 0.0000 0.0000 0.0000 1
Ac2 Ac 0.0000 0.0000 0.3379 1
Mg1 Mg 0.5000 0.5000 0.5000 1
Tl1 Tl 0.5000 0.5000 0.1743 1
```

***

A plane-wave DFT calculation with GGA-PBE was carried out for a relaxed structure of Ac3Mg3Tl2.

Properties
**E**: -93.459 eV/cell
**Magnetization**: 0.00 Bohr magnetons per cell
**Formation energy from the elements**: -147 kJ/mol of formula units

Structure (CIF):
```
data_Ac3Mg3Tl2
_cell_length_a 9.2951
_cell_length_b 17.1680
_cell_length_c 6.5726
_cell_angle_alpha 90.00
_cell_angle_beta 90.00
_cell_angle_gamma 90.00
_space_group_name_H-M_alt 'P n m a'
_space_group_IT_number 62
_space_group_name_Hall '-P 2ac 2n'
loop_
_atom_site_label
_atom_site_type_symbol
_atom_site_fract_x
_atom_site_fract_y
_atom_site_fract_z
_atom_site_occupancy
Ac1 Ac 0.0399 0.1121 0.1161 1
Ac2 Ac 0.1792 0.2500 0.6221 1
Mg1 Mg 0.1757 0.7500 0.6227 1
Mg2 Mg 0.1823 0.0333 0.6040 1
Tl1 Tl 0.1051 0.6090 0.3715 1
```

***

A plane-wave DFT calculation with GGA-PBE was carried out for a relaxed structure of Ac2Mg3Tl.

Properties
**E**: -16.313 eV/cell
**Magnetization**: 0.00 Bohr magnetons per cell
**Formation energy from the elements**: -91 kJ/mol of formula units

Structure (CIF):
```
data_Ac2Mg3Tl
_cell_length_a 3.8307
_cell_length_b 5.3428
_cell_length_c 9.2397
_cell_angle_alpha 90.00
_cell_angle_beta 90.00
_cell_angle_gamma 90.00
_space_group_name_H-M_alt 'P m m 2'
_space_group_IT_number 25
_space_group_name_Hall 'P 2 -2'
loop_
_atom_site_label
_atom_site_type_symbol
_atom_site_fract_x
_atom_site_fract_y
_atom_site_fract_z
_atom_site_occupancy
Ac1 Ac 0.0000 0.0000 0.0000 1
Ac2 Ac 0.0000 0.5000 0.4897 1
Mg1 Mg 0.5000 0.0000 0.6652 1
Mg2 Mg 0.5000 0.5000 0.1581 1
Mg3 Mg 0.5000 0.5000 0.8266 1
Tl1 Tl 0.5000 0.0000 0.3322 1
```

***

A plane-wave DFT calculation with GGA-PBE was carried out for a relaxed structure of Ac6MgTl3.

Properties
**E**: -70.452 eV/cell
**Magnetization**: 0.00 Bohr magnetons per cell
**Formation energy from the elements**: -182 kJ/mol of formula units

Structure (CIF):
```
data_Ac6MgTl3
_cell_length_a 10.2780
_cell_length_b 5.8325
_cell_length_c 12.9375
_cell_angle_alpha 90.00
_cell_angle_beta 107.30
_cell_angle_gamma 90.00
_space_group_name_H-M_alt 'P 1 21/m 1'
_space_group_IT_number 11
_space_group_name_Hall '-P 2yb'
loop_
_atom_site_label
_atom_site_type_symbol
_atom_site_fract_x
_atom_site_fract_y
_atom_site_fract_z
_atom_site_occupancy
Ac1 Ac 0.0246 0.2500 0.4036 1
Ac2 Ac 0.1530 0.7500 0.1809 1
Ac3 Ac 0.2473 0.2500 0.0006 1
Ac4 Ac 0.3461 0.7500 0.8162 1
Ac5 Ac 0.3714 0.2500 0.3433 1
Ac6 Ac 0.3958 0.2500 0.6196 1
Mg1 Mg 0.4565 0.7500 0.1003 1
Tl1 Tl 0.0377 0.7500 0.8878 1
Tl2 Tl 0.1322 0.2500 0.7205 1
Tl3 Tl 0.2733 0.7500 0.4709 1
```

***

A plane-wave DFT calculation with GGA-PBE was carried out for a relaxed structure of AcMg3Tl.

Properties
**E**: -43.509 eV/cell
**Magnetization**: 0.00 Bohr magnetons per cell
**Formation energy from the elements**: 37 kJ/mol of formula units

Structure (CIF):
```
data_AcMg3Tl
_cell_length_a 7.3512
_cell_length_b 7.3512
_cell_length_c 13.1429
_cell_angle_alpha 90.00
_cell_angle_beta 90.00
_cell_angle_gamma 120.00
_space_group_name_H-M_alt 'P 63/m m c'
_space_group_IT_number 194
_space_group_name_Hall '-P 6c 2c'
loop_
_atom_site_label
_atom_site_type_symbol
_atom_site_fract_x
_atom_site_fract_y
_atom_site_fract_z
_atom_site_occupancy
Ac1 Ac 0.0000 0.0000 0.0000 1
Ac2 Ac 0.3333 0.6667 0.2500 1
Mg1 Mg 0.0000 0.5000 0.0000 1
Mg2 Mg 0.1343 0.2685 0.7500 1
Tl1 Tl 0.3333 0.6667 0.6352 1
```

***

A plane-wave DFT calculation with GGA-PBE was carried out for a relaxed structure of AcMg4Tl15.

Properties
**E**: -46.550 eV/cell
**Magnetization**: 0.00 Bohr magnetons per cell
**Formation energy from the elements**: -55 kJ/mol of formula units

Structure (CIF):
```
data_AcMg4Tl15
_cell_length_a 4.9440
_cell_length_b 4.9440
_cell_length_c 23.5809
_cell_angle_alpha 90.00
_cell_angle_beta 90.00
_cell_angle_gamma 90.00
_space_group_name_H-M_alt 'P 4/m m m'
_space_group_IT_number 123
_space_group_name_Hall '-P 4 2'
loop_
_atom_site_label
_atom_site_type_symbol
_atom_site_fract_x
_atom_site_fract_y
_atom_site_fract_z
_atom_site_occupancy
Ac1 Ac 0.0000 0.0000 0.0000 1
Mg1 Mg 0.0000 0.0000 0.1991 1
Mg2 Mg 0.0000 0.0000 0.4020 1
Tl1 Tl 0.0000 0.5000 0.1083 1
Tl2 Tl 0.0000 0.5000 0.3025 1
Tl3 Tl 0.0000 0.5000 0.5000 1
Tl4 Tl 0.5000 0.5000 0.0000 1
Tl5 Tl 0.5000 0.5000 0.2064 1
Tl6 Tl 0.5000 0.5000 0.4014 1
```

***

A plane-wave DFT calculation with GGA-PBE was carried out for a relaxed structure of Ac4MgTl2.

Properties
**E**: -71.890 eV/cell
**Magnetization**: 0.00 Bohr magnetons per cell
**Formation energy from the elements**: -116 kJ/mol of formula units

Structure (CIF):
```
data_Ac4MgTl2
_cell_length_a 5.7683
_cell_length_b 5.7683
_cell_length_c 27.6446
_cell_angle_alpha 90.00
_cell_angle_beta 90.00
_cell_angle_gamma 120.00
_space_group_name_H-M_alt 'R -3 m'
_space_group_IT_number 166
_space_group_name_Hall '-R 3 2"'
loop_
_atom_site_label
_atom_site_type_symbol
_atom_site_fract_x
_atom_site_fract_y
_atom_site_fract_z
_atom_site_occupancy
Ac1 Ac 0.0000 0.0000 0.1181 1
Ac2 Ac 0.0000 0.0000 0.3703 1
Mg1 Mg 0.0000 0.0000 0.5000 1
Tl1 Tl 0.0000 0.0000 0.2451 1
```